First-principles (PBEsol) data for a relaxed structure of Mn9Zn3O16, as listed in the Alexandria database.

abc: 5.6880 5.6880 9.2883
angles: 90.00 90.00 90.00
With the nearest neighbours (Å) after each atom.
Space group P-4m2 (No. 115)
Symmetry-distinct sites (fractional):
Mn: 0.0000 0.0000 0.0000 [1 per cell]  4 O 1.97
Mn: 0.0000 0.2502 0.3753 [4 per cell]  4 O 1.92
Mn: 0.2486 0.5000 0.1262 [4 per cell]  4 O 1.92
Zn: 0.0000 0.5000 0.7507 [2 per cell]  4 O 1.97
Zn: 0.5000 0.5000 0.5000 [1 per cell]  4 O 1.97
O: 0.0000 0.2263 0.6202 [4 per cell]  2 Mn 1.92, 1 Zn 1.97
O: 0.0000 0.2724 0.1304 [4 per cell]  3 Mn 1.92-1.97
O: 0.2266 0.5000 0.3698 [4 per cell]  2 Mn 1.92, 1 Zn 1.97
O: 0.2744 0.5000 0.8803 [4 per cell]  2 Mn 1.92, 1 Zn 1.97

E_tot = -7.850 eV/atom
Mass density = 5.2 g/cm3
Density of states at the Fermi level = 3.416 states/eV per cell
ΔE_f (raw) = -149 kJ/mol of atoms
Calculated volume = 300.5 Å³/f.u.